1.
The following is a GGA-PBE calculation of crystalline LaIrW2 at its relaxed geometry, from Alexandria via LeMat-Bulk.

Cell lengths 5.427, 9.797, 2.837 Å; angles 90.00, 90.00, 90.00 degrees
Space group Cmmm (No. 65)
Unique sites:
La: 0.000 0.000 0.000 [2 per cell]
Ir: 0.000 0.500 0.000 [2 per cell]
W: 0.250 0.250 0.500 [4 per cell]

Energy above the most stable polymorph in this dataset, kJ/mol of formula units: 190
Calculated total energy, eV per cell: -73.74
Crystal system: orthorhombic
Size of the total moment, μB per formula unit: 0.0

---

2.
The following is a GGA-PBE calculation of crystalline InReSi2 at its relaxed geometry, from Alexandria via LeMat-Bulk.

Cell lengths 3.261, 4.949, 8.429 Å; angles 90.00, 90.00, 90.00 degrees
Space group Cmm2 (No. 35)
Unique sites:
In: 0.000 0.000 0.000 [2 per cell]
Re: 0.000 0.500 0.279 [2 per cell]
Si: 0.000 0.000 0.486 [2 per cell]
Si: 0.000 0.500 0.709 [2 per cell]

E_form (uncorrected), eV per atom: 0.51
Calculated total energy, eV per cell: -48.01
Crystal system: orthorhombic
Size of the total moment, μB per formula unit: 0.0

---

3.
The following is a GGA-PBE calculation of crystalline LiPb at its relaxed geometry, from Alexandria via LeMat-Bulk.

Cell lengths 3.548, 3.548, 3.584 Å; angles 90.00, 90.00, 90.00 degrees
Space group P4/mmm (No. 123)
Unique sites:
Li: 0.000 0.000 0.000 [1 per cell]
Pb: 0.500 0.500 0.500 [1 per cell]

Calculated total energy, eV per cell: -6.14
Crystal system: tetragonal
Size of the total moment, μB per formula unit: 0.0

---

4.
The following is a GGA-PBE calculation of crystalline Th5Te5S2 at its relaxed geometry, from Alexandria via LeMat-Bulk.

Cell lengths 14.365, 4.234, 12.918 Å; angles 90.00, 111.91, 90.00 degrees
Space group C2/m (No. 12)
Unique sites:
Th: 0.000 0.000 0.000 [2 per cell]
Th: 0.126 0.000 0.420 [4 per cell]
Th: 0.163 0.500 0.782 [4 per cell]
Te: 0.000 0.500 0.500 [2 per cell]
Te: 0.173 0.500 0.043 [4 per cell]
Te: 0.232 0.500 0.325 [4 per cell]
S: 0.034 0.000 0.795 [4 per cell]

E_form (uncorrected), eV per atom: -1.27
Calculated total energy, eV per cell: -152.65
Crystal system: monoclinic
Size of the total moment, μB per formula unit: 0.0

---

5.
The following is a GGA-PBE calculation of crystalline ErTm2Pu at its relaxed geometry, from Alexandria via LeMat-Bulk.

Cell lengths 4.905, 4.905, 4.908 Å; angles 90.00, 90.00, 90.00 degrees
Space group P4/mmm (No. 123)
Unique sites:
Er: 0.000 0.000 0.000 [1 per cell]
Tm: 0.000 0.500 0.500 [2 per cell]
Pu: 0.500 0.500 0.000 [1 per cell]

Energy above the most stable polymorph in this dataset, kJ/mol of formula units: 19
Calculated total energy, eV per cell: -27.31
Crystal system: tetragonal
Size of the total moment, μB per formula unit: 6.3

---

6.
The following is a GGA-PBE calculation of crystalline Se2I2Br at its relaxed geometry, from Alexandria via LeMat-Bulk.

Cell lengths 8.647, 8.647, 5.673 Å; angles 90.00, 90.00, 90.00 degrees
Space group P4/mbm (No. 127)
Unique sites:
Se: 0.089 0.411 0.000 [4 per cell]
I: 0.236 0.264 0.500 [4 per cell]
Br: 0.000 0.000 0.500 [2 per cell]

E_form (uncorrected), eV per atom: 0.24
Energy above the most stable polymorph in this dataset, kJ/mol of formula units: 99
Calculated total energy, eV per cell: -21.08
Crystal system: tetragonal
Size of the total moment, μB per formula unit: 1.0